The following is a DFT calculation (PBEsol) of a relaxed structure of Sr2RhCl.

As for the uncorrected formation energy: -88 kJ/mol of atoms.

CIF file:
```
data_Sr2RhCl
_cell_length_a 4.190
_cell_length_b 4.190
_cell_length_c 7.703
_cell_angle_alpha 74.22
_cell_angle_beta 74.22
_cell_angle_gamma 60.00
_symmetry_space_group_name_H-M 'P 1'
_symmetry_Int_Tables_number 1
loop_
_symmetry_equiv_pos_as_xyz
'x,y,z'
loop_
_atom_site_label
_atom_site_fract_x
_atom_site_fract_y
_atom_site_fract_z
Sr1 0.759 0.759 0.722
Sr2 0.241 0.241 0.278
Rh1 0.500 0.500 0.500
Cl1 0.000 0.000 0.000
```


The following is a DFT calculation (PBEsol) of a relaxed structure of MnTcIr2.

For the formation energy, the calculation gives -0.16 eV per atom.

CIF file:
```
data_MnTcIr2
_cell_length_a 2.679
_cell_length_b 3.746
_cell_length_c 5.330
_cell_angle_alpha 90.00
_cell_angle_beta 90.00
_cell_angle_gamma 90.00
_symmetry_space_group_name_H-M 'P 1'
_symmetry_Int_Tables_number 1
loop_
_symmetry_equiv_pos_as_xyz
'x,y,z'
loop_
_atom_site_label
_atom_site_fract_x
_atom_site_fract_y
_atom_site_fract_z
Ir1 0.000 0.000 0.754
Ir2 0.000 0.000 0.246
Tc1 0.500 0.500 0.500
Mn1 0.500 0.500 0.000
```


Number 1: calculated density 4.7 g cm⁻³, ΔE to the lowest computed polymorph 37.2 meV/atom. Number 2: calculated density 16.7 g cm⁻³, ΔE to the lowest computed polymorph 0.0 meV/atom.